Compound: NaSe
Source: the Alexandria database
Functional: GGA-PBEsol
Structure: relaxed

It has space group P6_3/mmc (No. 194), with a = 4.5792 Å, b = 4.5792 Å, c = 5.4655 Å, α = 90.00°, β = 90.00° and γ = 120.00°. The distinct sites, in fractional coordinates, are Na at (0.3333, 0.6667, 0.2500) and Se at (0.0000, 0.0000, 0.0000).

The crystal system is hexagonal. For the density of states at the Fermi level, the calculation gives 0.382 states/eV per atom. The value obtained for the total magnetization is 0.0000 μB/atom. The energy relative to the elements, uncorrected comes out at -1.59 eV per formula unit.



Compound: Na2Se
Source: the Alexandria database
Functional: GGA-PBEsol
Structure: relaxed

It has space group Fm-3m (No. 225), with a = 6.7745 Å, b = 6.7745 Å, c = 6.7745 Å, α = 90.00°, β = 90.00° and γ = 90.00°. The distinct sites, in fractional coordinates, are Na at (0.2500, 0.2500, 0.2500) and Se at (0.0000, 0.0000, 0.0000).

The crystal system is cubic. For the density of states at the Fermi level, the calculation gives 0.000 states/eV per atom. The value obtained for the total magnetization is 0.0000 μB/atom. The energy relative to the elements, uncorrected comes out at -3.13 eV per formula unit.